# 1
First-principles (GGA-PBE) data for a relaxed structure of Pm6Tl6Ga, as listed in Alexandria via LeMat-Bulk.

```
Pm6Tl6Ga
1.0
6.609 0.000 0.000
-3.305 5.724 0.000
0.000 0.000 10.612
Pm Tl Ga
6 6 1
direct
0.000 0.000 0.207
0.000 0.000 0.793
0.333 0.667 0.000
0.333 0.667 0.500
0.667 0.333 0.000
0.667 0.333 0.500
0.000 0.500 0.249
0.000 0.500 0.751
0.500 0.000 0.249
0.500 0.000 0.751
0.500 0.500 0.249
0.500 0.500 0.751
0.000 0.000 0.500
```

## Properties
The volume is 401.4 Å³ per cell. As for the symmetry: No. 191. The final energy is -3.72 eV/atom. The value obtained for the energy of formation is -20.0 kJ/mol of atoms. For the density of states at the Fermi level, the calculation gives 14.85 states/eV/f.u.

# 2
First-principles (GGA-PBE) data for a relaxed structure of PmDy3ThSc, as listed in Alexandria via LeMat-Bulk.

```
PmDy3ThSc
1.0
7.860 0.000 0.000
0.000 5.015 0.000
-3.196 0.000 9.419
Pm Dy Th Sc
2 6 2 2
direct
0.174 0.250 0.297
0.826 0.750 0.703
0.176 0.750 0.047
0.177 0.750 0.542
0.178 0.250 0.790
0.822 0.750 0.210
0.823 0.250 0.458
0.824 0.250 0.953
0.499 0.750 0.876
0.501 0.250 0.124
0.500 0.250 0.627
0.500 0.750 0.373
```

## Properties
The volume is 371.3 Å³ per cell. As for the symmetry: No. 11. The final energy is -5.34 eV/atom. The value obtained for the energy of formation is 3.9 kJ/mol of atoms. For the density of states at the Fermi level, the calculation gives 9.46 states/eV/f.u.

# 3
First-principles (GGA-PBE) data for a relaxed structure of NbB2I2, as listed in Alexandria via LeMat-Bulk.

```
NbB2I2
1.0
7.601 0.000 0.000
0.000 7.601 0.000
0.000 0.000 3.292
Nb B I
2 4 4
direct
0.000 0.000 0.000
0.500 0.500 0.000
0.205 0.295 0.500
0.295 0.795 0.500
0.705 0.205 0.500
0.795 0.705 0.500
0.148 0.648 0.000
0.352 0.148 0.000
0.648 0.852 0.000
0.852 0.352 0.000
```

## Properties
The volume is 190.2 Å³ per cell. As for the symmetry: No. 127. The final energy is -3.62 eV/atom. The uncorrected formation energy is 1.68 eV/atom. For the density of states at the Fermi level, the calculation gives 3.38 states/eV/f.u.

# 4
First-principles (GGA-PBE) data for a relaxed structure of PmNd5Er2, as listed in Alexandria via LeMat-Bulk.

```
PmNd5Er2
1.0
7.259 0.000 0.000
0.000 14.519 0.000
0.000 0.000 5.133
Pm Nd Er
2 10 4
direct
0.000 0.000 0.000
0.500 0.500 0.000
0.000 0.250 0.000
0.000 0.500 0.000
0.000 0.750 0.000
0.250 0.125 0.500
0.250 0.625 0.500
0.500 0.000 0.000
0.500 0.250 0.000
0.500 0.750 0.000
0.750 0.375 0.500
0.750 0.875 0.500
0.250 0.375 0.500
0.250 0.875 0.500
0.750 0.125 0.500
0.750 0.625 0.500
```

## Properties
The volume is 540.9 Å³ per cell. As for the symmetry: No. 55. The final energy is -4.70 eV/atom. The value obtained for the energy of formation is 1.2 kJ/mol of atoms. For the density of states at the Fermi level, the calculation gives 11.22 states/eV/f.u.

# 5
First-principles (GGA-PBE) data for a relaxed structure of Er2GaGe2, as listed in Alexandria via LeMat-Bulk.

```
Er2GaGe2
1.0
-2.015 3.120 4.229
2.015 -3.120 4.229
2.015 3.120 -4.229
Er Ga Ge
2 1 2
direct
0.219 0.219 0.000
0.781 0.781 0.000
0.500 0.000 0.500
0.208 0.500 0.708
0.792 0.500 0.292
```

## Properties
The volume is 106.3 Å³ per cell. As for the symmetry: No. 71. The final energy is -4.99 eV/atom. The value obtained for the energy of formation is -68.6 kJ/mol of atoms. For the density of states at the Fermi level, the calculation gives 2.04 states/eV/f.u.

# 6
First-principles (GGA-PBE) data for a relaxed structure of PaGa2PtO8, as listed in Alexandria via LeMat-Bulk.

```
PaGa2PtO8
1.0
3.338 -3.383 0.000
3.338 3.383 0.000
0.000 0.000 6.349
Pa Ga Pt O
1 2 1 8
direct
0.000 0.000 0.000
0.500 0.500 0.257
0.500 0.500 0.743
0.000 0.000 0.500
0.206 0.794 0.267
0.206 0.794 0.733
0.300 0.300 0.500
0.318 0.318 0.000
0.682 0.682 0.000
0.700 0.700 0.500
0.794 0.206 0.267
0.794 0.206 0.733
```

## Properties
The volume is 143.4 Å³ per cell. As for the symmetry: No. 65. The final energy is -6.93 eV/atom. The uncorrected formation energy is -1.83 eV/atom. For the density of states at the Fermi level, the calculation gives 3.16 states/eV/f.u.

# 7
First-principles (GGA-PBE) data for a relaxed structure of PdPt, as listed in Alexandria via LeMat-Bulk.

```
PdPt
1.0
-4.949 4.949 1.355
4.949 -4.949 1.355
4.949 4.949 -1.355
Pd Pt
4 4
direct
0.104 0.358 0.462
0.358 0.896 0.254
0.642 0.104 0.746
0.896 0.642 0.538
0.093 0.840 0.932
0.160 0.093 0.253
0.840 0.907 0.747
0.907 0.160 0.068
```

## Properties
The volume is 132.8 Å³ per cell. As for the symmetry: No. 87. The final energy is -5.43 eV/atom. The value obtained for the energy of formation is 17.8 kJ/mol of atoms. For the density of states at the Fermi level, the calculation gives 3.61 states/eV/f.u.

# 8
First-principles (GGA-PBE) data for a relaxed structure of Sr4AgPd, as listed in Alexandria via LeMat-Bulk.

```
Sr4AgPd
1.0
7.680 0.000 0.000
-0.002 7.681 0.000
-3.776 -3.834 7.716
Sr Ag Pd
8 2 2
direct
0.121 0.121 0.258
0.136 0.621 0.258
0.364 0.363 0.741
0.379 0.864 0.742
0.621 0.136 0.258
0.636 0.637 0.259
0.864 0.379 0.742
0.879 0.879 0.742
0.250 0.750 0.000
0.750 0.250 0.000
0.000 0.000 0.500
0.500 0.500 0.500
```

## Properties
The volume is 455.2 Å³ per cell. As for the symmetry: No. 2. The final energy is -2.75 eV/atom. The value obtained for the energy of formation is -27.5 kJ/mol of atoms. For the density of states at the Fermi level, the calculation gives 3.14 states/eV/f.u.

# 9
First-principles (GGA-PBE) data for a relaxed structure of LaTiPtO2, as listed in Alexandria via LeMat-Bulk.

```
LaTiPtO2
1.0
4.359 0.000 0.000
0.000 4.359 0.000
0.000 0.000 4.640
La Ti Pt O
1 1 1 2
direct
0.000 0.000 0.000
0.500 0.500 0.000
0.500 0.500 0.500
0.000 0.500 0.500
0.500 0.000 0.500
```

## Properties
The volume is 88.1 Å³ per cell. As for the symmetry: No. 123. The final energy is -5.99 eV/atom. The uncorrected formation energy is -0.23 eV/atom. For the density of states at the Fermi level, the calculation gives 4.62 states/eV/f.u.

# 10
First-principles (GGA-PBE) data for a relaxed structure of BeZn2, as listed in Alexandria via LeMat-Bulk.

```
BeZn2
1.0
-1.859 1.859 10.959
1.859 -1.859 10.959
1.859 1.859 -10.959
Be Zn
4 8
direct
0.287 0.537 0.750
0.463 0.713 0.750
0.537 0.287 0.250
0.713 0.463 0.250
0.039 0.789 0.250
0.125 0.375 0.750
0.211 0.961 0.250
0.375 0.125 0.250
0.625 0.875 0.750
0.789 0.039 0.750
0.875 0.625 0.250
0.961 0.211 0.750
```

## Properties
The volume is 151.5 Å³ per cell. As for the symmetry: No. 141. The final energy is -1.90 eV/atom. The value obtained for the energy of formation is 18.9 kJ/mol of atoms. For the density of states at the Fermi level, the calculation gives 0.78 states/eV/f.u.

# 11
First-principles (GGA-PBE) data for a relaxed structure of Sm8HgRh2, as listed in Alexandria via LeMat-Bulk.

```
Sm8HgRh2
1.0
4.313 -6.843 0.000
4.313 6.843 0.000
-1.549 0.000 5.442
Sm Hg Rh
8 1 2
direct
0.083 0.333 0.569
0.241 0.759 0.000
0.333 0.083 0.569
0.390 0.390 0.190
0.610 0.610 0.810
0.667 0.917 0.431
0.759 0.241 0.000
0.917 0.667 0.431
0.000 0.000 0.000
0.293 0.707 0.500
0.707 0.293 0.500
```

## Properties
The volume is 321.2 Å³ per cell. As for the symmetry: No. 12. The final energy is -5.10 eV/atom. The value obtained for the energy of formation is -29.5 kJ/mol of atoms. For the density of states at the Fermi level, the calculation gives 12.98 states/eV/f.u.

# 12
First-principles (GGA-PBE) data for a relaxed structure of CuP2Ir, as listed in Alexandria via LeMat-Bulk.

```
CuP2Ir
1.0
1.391 -2.500 0.000
1.391 2.500 0.000
0.000 0.000 8.121
Cu P Ir
1 2 1
direct
0.000 0.000 0.000
0.500 0.500 0.249
0.500 0.500 0.751
0.000 0.000 0.500
```

## Properties
The volume is 56.5 Å³ per cell. As for the symmetry: No. 65. The final energy is -5.62 eV/atom. The value obtained for the energy of formation is 30.8 kJ/mol of atoms. For the density of states at the Fermi level, the calculation gives 1.21 states/eV/f.u.